SbAsW2 | the Alexandria database | PBE | relaxed; space-group type = P2/m, No. 10; crystal system = monoclinic
1.0
3.2479 0.0000 0.0000
0.0000 4.0714 0.0000
-1.0116 0.0000 5.5071
Sb As W
1 1 2
Cartesian
0.0000 0.0000 0.0000 Sb
1.1182 0.0000 2.7536 As
0.3696 2.0357 3.9660 W
1.8667 2.0357 1.5411 W


Sb2AsW | the Alexandria database | PBE | relaxed; space-group type = Imm2, No. 44; crystal system = orthorhombic
1.0
-1.6513 2.3003 6.1116
1.6513 -2.3003 6.1116
1.6513 2.3003 -6.1116
Sb As W
2 1 1
Cartesian
0.0000 0.0000 0.0000 Sb
0.0000 2.3003 2.3219 Sb
1.6513 0.0000 4.0014 As
0.0000 0.0000 6.0017 W


Sb2AsW | the Alexandria database | PBE | relaxed; space-group type = Cmmm, No. 65; crystal system = orthorhombic
1.0
1.7802 -2.4582 0.0000
1.7802 2.4582 0.0000
0.0000 0.0000 9.9659
Sb As W
2 1 1
Cartesian
0.0000 0.0000 2.2155 Sb
0.0000 0.0000 7.7504 Sb
1.7802 0.0000 4.9829 As
1.7802 0.0000 0.0000 W


Sb2As2W | the Alexandria database | PBE | relaxed; space-group type = I4/mmm, No. 139; crystal system = tetragonal
1.0
-1.7682 1.7682 9.1292
1.7682 -1.7682 9.1292
1.7682 1.7682 -9.1292
Sb As W
2 2 1
Cartesian
0.0000 0.0000 1.5321 Sb
0.0000 0.0000 16.7263 Sb
1.7682 0.0000 4.5646 As
0.0000 1.7682 4.5646 As
0.0000 0.0000 9.1292 W


Sb3AsW | the Alexandria database | PBE | relaxed; space-group type = Pm-3m, No. 221; crystal system = cubic
1.0
5.2139 0.0000 0.0000
0.0000 5.2139 0.0000
0.0000 0.0000 5.2139
Sb As W
3 1 1
Cartesian
0.0000 0.0000 2.6070 Sb
0.0000 2.6070 0.0000 Sb
2.6070 0.0000 0.0000 Sb
2.6070 2.6070 2.6070 As
0.0000 0.0000 0.0000 W


SbAs3W | the Alexandria database | PBE | relaxed; space-group type = Pm-3m, No. 221; crystal system = cubic
1.0
4.9279 0.0000 0.0000
0.0000 4.9279 0.0000
0.0000 0.0000 4.9279
Sb As W
1 3 1
Cartesian
0.0000 0.0000 0.0000 Sb
0.0000 2.4639 2.4639 As
2.4639 0.0000 2.4639 As
2.4639 2.4639 0.0000 As
2.4639 2.4639 2.4639 W


Calculated raw formation energy (eV per formula unit), listed in the same order as above: 2.82; 1.92; 2.56; 2.65; 3.93; 2.96
Calculated volume (Å³/cell), listed in the same order as above: 72.8; 92.9; 87.2; 114.2; 141.7; 119.7